No. 1
Material: Ac3Pr4SmS8
Method: DFT, PBE-GGA
State: relaxed

Lattice parameters (Å, degrees): 8.338 8.338 8.338 60.11 60.11 60.11
Atoms (fractional coordinates):
Ac1 0.000 0.500 0.500
Ac2 0.500 0.000 0.500
Ac3 0.500 0.500 0.000
Pr1 0.000 0.000 0.500
Pr2 0.000 0.500 0.000
Pr3 0.500 0.000 0.000
Pr4 0.500 0.500 0.500
Sm1 0.000 0.000 0.000
S1 0.239 0.754 0.754
S2 0.246 0.246 0.246
S3 0.246 0.246 0.761
S4 0.246 0.761 0.246
S5 0.754 0.239 0.754
S6 0.754 0.754 0.239
S7 0.754 0.754 0.754
S8 0.761 0.246 0.246

Results
- E_form (uncorrected) (meV/atom) = -2002.4

=====

No. 2
Material: Ac2PrSmS4
Method: DFT, PBE-GGA
State: relaxed

Lattice parameters (Å, degrees): 7.238 4.145 7.293 90.00 109.13 90.00
Atoms (fractional coordinates):
Ac1 0.000 0.000 0.000
Ac2 0.500 0.500 0.000
Pr1 0.000 0.500 0.500
Sm1 0.500 0.000 0.500
S1 0.249 0.000 0.735
S2 0.260 0.500 0.268
S3 0.740 0.500 0.732
S4 0.751 0.000 0.265

Results
- E_form (uncorrected) (meV/atom) = -2005.6

=====

No. 3
Material: Ac3Pr2SmS6
Method: DFT, PBE-GGA
State: relaxed

Lattice parameters (Å, degrees): 7.249 7.249 7.273 99.59 99.59 120.08
Atoms (fractional coordinates):
Ac1 0.000 0.000 0.000
Ac2 0.332 0.668 0.000
Ac3 0.668 0.332 0.000
Pr1 0.167 0.833 0.500
Pr2 0.833 0.167 0.500
Sm1 0.500 0.500 0.500
S1 0.094 0.422 0.266
S2 0.251 0.251 0.737
S3 0.422 0.094 0.266
S4 0.578 0.906 0.734
S5 0.749 0.749 0.263
S6 0.906 0.578 0.734

Results
- E_form (uncorrected) (meV/atom) = -2011.7

=====

No. 4
Material: Ac2Pr3SmS6
Method: DFT, PBE-GGA
State: relaxed

Lattice parameters (Å, degrees): 7.214 7.214 7.195 99.65 99.65 120.10
Atoms (fractional coordinates):
Ac1 0.166 0.834 0.000
Ac2 0.834 0.166 0.000
Pr1 0.000 0.000 0.500
Pr2 0.331 0.669 0.500
Pr3 0.669 0.331 0.500
Sm1 0.500 0.500 0.000
S1 0.093 0.416 0.747
S2 0.263 0.263 0.257
S3 0.416 0.093 0.747
S4 0.584 0.907 0.253
S5 0.737 0.737 0.743
S6 0.907 0.584 0.253

Results
- E_form (uncorrected) (meV/atom) = -2007.3

=====

No. 5
Material: AcPr4Sm3S8
Method: DFT, PBE-GGA
State: relaxed

Lattice parameters (Å, degrees): 8.198 8.198 8.198 59.99 59.99 59.99
Atoms (fractional coordinates):
Ac1 0.000 0.000 0.000
Pr1 0.000 0.000 0.500
Pr2 0.000 0.500 0.000
Pr3 0.500 0.000 0.000
Pr4 0.500 0.500 0.500
Sm1 0.000 0.500 0.500
Sm2 0.500 0.000 0.500
Sm3 0.500 0.500 0.000
S1 0.253 0.253 0.253
S2 0.254 0.254 0.740
S3 0.254 0.740 0.254
S4 0.260 0.746 0.746
S5 0.740 0.254 0.254
S6 0.746 0.260 0.746
S7 0.746 0.746 0.260
S8 0.747 0.747 0.747

Results
- E_form (uncorrected) (meV/atom) = -2005.8

=====

No. 6
Material: Sr2AcPrS4
Method: DFT, PBE-GGA
State: relaxed

Lattice parameters (Å, degrees): 7.295 4.215 7.418 90.00 109.12 90.00
Atoms (fractional coordinates):
Sr1 0.000 0.000 0.000
Sr2 0.500 0.500 0.000
Ac1 0.000 0.500 0.500
Pr1 0.500 0.000 0.500
S1 0.256 0.000 0.750
S2 0.256 0.500 0.254
S3 0.744 0.000 0.250
S4 0.744 0.500 0.746

Results
- E_form (uncorrected) (meV/atom) = -2043.0

=====

No. 7
Material: SrAcPr2S4
Method: DFT, PBE-GGA
State: relaxed

Lattice parameters (Å, degrees): 7.256 4.167 7.297 90.00 109.10 90.00
Atoms (fractional coordinates):
Sr1 0.000 0.000 0.000
Ac1 0.500 0.500 0.000
Pr1 0.000 0.500 0.500
Pr2 0.500 0.000 0.500
S1 0.244 0.000 0.741
S2 0.250 0.500 0.257
S3 0.750 0.500 0.743
S4 0.756 0.000 0.259

Results
- E_form (uncorrected) (meV/atom) = -2026.9

=====

No. 8
Material: SrAc2PrS4
Method: DFT, PBE-GGA
State: relaxed

Lattice parameters (Å, degrees): 7.344 4.226 7.379 90.00 109.20 90.00
Atoms (fractional coordinates):
Sr1 0.000 0.000 0.000
Ac1 0.500 0.000 0.500
Ac2 0.500 0.500 0.000
Pr1 0.000 0.500 0.500
S1 0.240 0.000 0.745
S2 0.242 0.500 0.250
S3 0.758 0.500 0.750
S4 0.760 0.000 0.255

Results
- E_form (uncorrected) (meV/atom) = -2019.2

=====

No. 9
Material: Ac3TbPr3S8
Method: DFT, PBE-GGA
State: relaxed

Lattice parameters (Å, degrees): 8.430 8.430 8.430 58.92 58.92 58.92
Atoms (fractional coordinates):
Ac1 0.000 0.500 0.500
Ac2 0.500 0.000 0.500
Ac3 0.500 0.500 0.000
Tb1 0.500 0.500 0.500
Pr1 0.000 0.000 0.500
Pr2 0.000 0.500 0.000
Pr3 0.500 0.000 0.000
S1 0.246 0.246 0.246
S2 0.255 0.738 0.738
S3 0.262 0.262 0.745
S4 0.262 0.745 0.262
S5 0.738 0.255 0.738
S6 0.738 0.738 0.255
S7 0.745 0.262 0.262
S8 0.754 0.754 0.754

Results
- E_form (uncorrected) (meV/atom) = -2043.3

=====

No. 10
Material: Ac3TbPr2S6
Method: DFT, PBE-GGA
State: relaxed

Lattice parameters (Å, degrees): 7.219 7.219 7.262 99.57 99.57 120.08
Atoms (fractional coordinates):
Ac1 0.000 0.000 0.000
Ac2 0.330 0.670 0.000
Ac3 0.670 0.330 0.000
Tb1 0.500 0.500 0.500
Pr1 0.167 0.833 0.500
Pr2 0.833 0.167 0.500
S1 0.100 0.423 0.269
S2 0.255 0.255 0.735
S3 0.423 0.100 0.269
S4 0.577 0.900 0.731
S5 0.745 0.745 0.265
S6 0.900 0.577 0.731

Results
- E_form (uncorrected) (meV/atom) = -2005.5

=====

No. 11
Material: Ac2TbPrS6
Method: DFT, PBE-GGA
State: relaxed

Lattice parameters (Å, degrees): 7.615 7.615 7.615 57.80 57.80 57.80
Atoms (fractional coordinates):
Ac1 0.000 0.000 0.000
Ac2 0.498 0.498 0.498
Tb1 0.711 0.711 0.711
Pr1 0.213 0.213 0.213
S1 0.074 0.426 0.836
S2 0.341 0.913 0.586
S3 0.426 0.836 0.074
S4 0.586 0.341 0.913
S5 0.836 0.074 0.426
S6 0.913 0.586 0.341

Results
- E_form (uncorrected) (meV/atom) = -2086.1

=====

No. 12
Material: AcTb2PrS4
Method: DFT, PBE-GGA
State: relaxed

Lattice parameters (Å, degrees): 6.956 3.994 7.235 90.00 108.55 90.00
Atoms (fractional coordinates):
Ac1 0.000 0.000 0.000
Tb1 0.000 0.500 0.500
Tb2 0.500 0.000 0.500
Pr1 0.500 0.500 0.000
S1 0.246 0.000 0.728
S2 0.263 0.500 0.275
S3 0.737 0.500 0.725
S4 0.754 0.000 0.272

Results
- E_form (uncorrected) (meV/atom) = -2001.3

=====

Short version: energy = -6.326; -6.284; -6.292; -6.344; -6.406; -5.638; -6.009; -5.918; -6.331; -6.279; -6.325; -6.334 eV/atom, in the order given.